{"formula": "Ta2B2H", "functional": "PBE", "state": "relaxed", "sg": "P4/mbm (127)", "energy_ev_per_atom": -8.0681, "m_tot_mub_per_fu": 0.00, "dos_at_fermi_per_ev_fu": 2.47, "lattice": [[-3.1553, -2.5475, 4.1524], [-3.9192, -1.6110, -3.9665], [1.5825, -2.7128, -0.4618]], "species": ["H", "H", "B", "B", "B", "B", "Ta", "Ta", "Ta", "Ta"], "fractional_positions": [[0.0000, 0.0000, 0.0000], [0.5000, 0.5000, 0.0000], [0.3964, 0.8964, 0.0000], [0.8964, 0.6036, 0.0000], [0.6036, 0.1036, 0.0000], [0.1036, 0.3964, 0.0000], [0.1876, 0.6876, 0.5000], [0.6876, 0.8124, 0.5000], [0.8124, 0.3124, 0.5000], [0.3124, 0.1876, 0.5000]]}

=====

{"formula": "TaB2H", "functional": "PBE", "state": "relaxed", "sg": "Fm-3m (225)", "energy_ev_per_atom": -5.9583, "m_tot_mub_per_fu": 0.00, "dos_at_fermi_per_ev_fu": 2.02, "lattice": [[3.4795, -1.2151, 0.7944], [1.1172, -0.3041, 3.5880], [0.5025, -3.4064, 1.5357]], "species": ["H", "B", "B", "Ta"], "fractional_positions": [[0.0000, 0.0000, 0.0000], [0.2500, 0.2500, 0.2500], [0.7500, 0.7500, 0.7500], [0.5000, 0.5000, 0.5000]]}

=====

{"formula": "TaB2H6", "functional": "PBE", "state": "relaxed", "sg": "Fm-3m (225)", "energy_ev_per_atom": -3.9378, "m_tot_mub_per_fu": 0.00, "dos_at_fermi_per_ev_fu": 5.02, "lattice": [[3.7222, 0.0000, 2.1490], [1.2407, 3.5093, 2.1490], [0.0000, 0.0000, 4.2980]], "species": ["Ta", "B", "B", "H", "H", "H", "H", "H", "H"], "fractional_positions": [[0.0000, 0.0000, 0.0000], [0.7500, 0.7500, 0.7500], [0.2500, 0.2500, 0.2500], [0.2998, 0.7002, 0.7002], [0.7002, 0.7002, 0.2998], [0.7002, 0.2998, 0.7002], [0.7002, 0.2998, 0.2998], [0.2998, 0.2998, 0.7002], [0.2998, 0.7002, 0.2998]]}

=====

{"formula": "TaTl2BH", "functional": "PBE", "state": "relaxed", "sg": "P4/mmm (123)", "energy_ev_per_atom": -4.3573, "m_tot_mub_per_fu": 0.00, "dos_at_fermi_per_ev_fu": 3.09, "lattice": [[5.2945, 0.0000, 0.0000], [0.0000, 5.2945, 0.0000], [0.0000, 0.0000, 2.9671]], "species": ["H", "Tl", "Tl", "B", "Ta"], "fractional_positions": [[0.0000, 0.0000, 0.5000], [0.0000, 0.5000, 0.0000], [0.5000, 0.0000, 0.0000], [0.0000, 0.0000, 0.0000], [0.5000, 0.5000, 0.5000]]}

=====

{"formula": "TbB2H6", "functional": "PBE", "state": "relaxed", "sg": "Fm-3m (225)", "energy_ev_per_atom": -2.9807, "m_tot_mub_per_fu": 0.00, "dos_at_fermi_per_ev_fu": 3.14, "lattice": [[3.9319, 0.0000, 2.2701], [1.3106, 3.7071, 2.2701], [0.0000, 0.0000, 4.5402]], "species": ["Tb", "B", "B", "H", "H", "H", "H", "H", "H"], "fractional_positions": [[0.0000, 0.0000, 0.0000], [0.7500, 0.7500, 0.7500], [0.2500, 0.2500, 0.2500], [0.3561, 0.6439, 0.6439], [0.6439, 0.6439, 0.3561], [0.6439, 0.3561, 0.6439], [0.6439, 0.3561, 0.3561], [0.3561, 0.3561, 0.6439], [0.3561, 0.6439, 0.3561]]}

=====

{"formula": "TbB3H12", "functional": "PBE", "state": "relaxed", "sg": "R-3c (167)", "energy_ev_per_atom": -4.3776, "m_tot_mub_per_fu": 0.00, "dos_at_fermi_per_ev_fu": 0.00, "lattice": [[-7.2567, -1.3432, -2.4167], [-4.2464, -5.5625, 3.3660], [-6.0215, 1.9213, 4.5364]], "species": ["Tb", "Tb", "B", "B", "B", "B", "B", "B", "H", "H", "H", "H", "H", "H", "H", "H", "H", "H", "H", "H", "H", "H", "H", "H", "H", "H", "H", "H", "H", "H", "H", "H"], "fractional_positions": [[0.0820, 0.0820, 0.7539], [0.5820, 0.5820, 0.2539], [0.8314, 0.3320, 0.0039], [0.3314, 0.3326, 0.5039], [0.8320, 0.3314, 0.5039], [0.3320, 0.8326, 0.0039], [0.8326, 0.8314, 0.0039], [0.3326, 0.8320, 0.5039], [0.1769, 0.9879, 0.0358], [0.3640, 0.1777, 0.6586], [0.9870, 0.1760, 0.4722], [0.9862, 0.3646, 0.8491], [0.4862, 0.3002, 0.3491], [0.4870, 0.8648, 0.9722], [0.8640, 0.2997, 0.1586], [0.1760, 0.3648, 0.4722], [0.6769, 0.2995, 0.5358], [0.7997, 0.3640, 0.6586], [0.8646, 0.4862, 0.3491], [0.2995, 0.4879, 0.5358], [0.8648, 0.6760, 0.9722], [0.7995, 0.1769, 0.0358], [0.3646, 0.8002, 0.8491], [0.2997, 0.6777, 0.1586], [0.6777, 0.8640, 0.1586], [0.6760, 0.4870, 0.9722], [0.4879, 0.6769, 0.5358], [0.8002, 0.9862, 0.8491], [0.3002, 0.8646, 0.3491], [0.9879, 0.7995, 0.0358], [0.1777, 0.7997, 0.6586], [0.3648, 0.9870, 0.4722]]}

=====

{"formula": "TcB2H6", "functional": "PBE", "state": "relaxed", "sg": "P-1 (2)", "energy_ev_per_atom": -4.6395, "m_tot_mub_per_fu": 0.14, "dos_at_fermi_per_ev_fu": 2.58, "lattice": [[2.3884, 3.9827, 2.0773], [4.2527, 1.1462, 2.1453], [5.1519, 3.8409, -0.7550]], "species": ["H", "H", "H", "H", "H", "H", "B", "B", "Tc"], "fractional_positions": [[0.1245, 0.4982, 0.5696], [0.8017, 0.1984, 0.2645], [0.1983, 0.8016, 0.7355], [0.8755, 0.5018, 0.4304], [0.5089, 0.0125, 0.1531], [0.4911, 0.9875, 0.8469], [0.8492, 0.9042, 0.5579], [0.1508, 0.0958, 0.4421], [0.0000, 0.0000, 0.0000]]}

=====

{"formula": "TcBH3", "functional": "PBE", "state": "relaxed", "sg": "Pm-3m (221)", "energy_ev_per_atom": -4.3251, "m_tot_mub_per_fu": 0.00, "dos_at_fermi_per_ev_fu": 3.33, "lattice": [[-0.4919, 3.1030, -1.1240], [-3.2516, -0.6500, -0.3715], [-0.5645, 1.0406, 3.1197]], "species": ["H", "H", "H", "B", "Tc"], "fractional_positions": [[0.0000, 0.5000, 0.0000], [0.0000, 0.0000, 0.5000], [0.5000, 0.0000, 0.0000], [0.5000, 0.5000, 0.5000], [0.0000, 0.0000, 0.0000]]}

=====

{"formula": "Tc2BH2", "functional": "PBE", "state": "relaxed", "sg": "P4/mbm (127)", "energy_ev_per_atom": -6.3958, "m_tot_mub_per_fu": 0.00, "dos_at_fermi_per_ev_fu": 2.43, "lattice": [[-1.5507, -2.0017, -4.9928], [2.4113, -4.9035, 1.2170], [-2.6755, -1.0090, 1.2355]], "species": ["H", "H", "H", "H", "B", "B", "Tc", "Tc", "Tc", "Tc"], "fractional_positions": [[0.2421, 0.7421, 0.5000], [0.7421, 0.7579, 0.5000], [0.7579, 0.2579, 0.5000], [0.2579, 0.2421, 0.5000], [0.0000, 0.0000, 0.0000], [0.5000, 0.5000, 0.0000], [0.3503, 0.8503, 0.0000], [0.8503, 0.6497, 0.0000], [0.6497, 0.1497, 0.0000], [0.1497, 0.3503, 0.0000]]}

=====

{"formula": "TcB2H2", "functional": "PBE", "state": "relaxed", "sg": "I4/mmm (139)", "energy_ev_per_atom": -5.5803, "m_tot_mub_per_fu": 0.00, "dos_at_fermi_per_ev_fu": 1.34, "lattice": [[2.8968, 0.0000, 0.0000], [0.0000, 2.8968, 0.0000], [1.4484, 1.4484, 3.7076]], "species": ["H", "H", "B", "B", "Tc"], "fractional_positions": [[0.4297, 0.4297, 0.1406], [0.5703, 0.5703, 0.8594], [0.7500, 0.2500, 0.5000], [0.2500, 0.7500, 0.5000], [0.0000, 0.0000, 0.0000]]}

=====

{"formula": "Tc2BH2", "functional": "PBE", "state": "relaxed", "sg": "I4/mmm (139)", "energy_ev_per_atom": -6.7273, "m_tot_mub_per_fu": 0.00, "dos_at_fermi_per_ev_fu": 2.77, "lattice": [[2.8508, 0.0000, 0.0000], [0.0000, 2.8508, 0.0000], [1.4254, 1.4254, 5.0201]], "species": ["H", "H", "B", "Tc", "Tc"], "fractional_positions": [[0.7500, 0.2500, 0.5000], [0.2500, 0.7500, 0.5000], [0.0000, 0.0000, 0.0000], [0.3741, 0.3741, 0.2517], [0.6259, 0.6259, 0.7483]]}

=====

{"formula": "TcB3H", "functional": "PBE", "state": "relaxed", "sg": "Pm-3m (221)", "energy_ev_per_atom": -5.7568, "m_tot_mub_per_fu": 0.00, "dos_at_fermi_per_ev_fu": 3.17, "lattice": [[-1.1946, -2.3326, 1.9921], [-0.1793, -2.0811, -2.5443], [3.0623, -1.0318, 0.6281]], "species": ["H", "B", "B", "B", "Tc"], "fractional_positions": [[0.0000, 0.0000, 0.0000], [0.0000, 0.5000, 0.0000], [0.0000, 0.0000, 0.5000], [0.5000, 0.0000, 0.0000], [0.5000, 0.5000, 0.5000]]}

=====

Number 2 is which compound?
TaB2H

=====

Copy entry 11 word for word.
{"formula": "Tc2BH2", "functional": "PBE", "state": "relaxed", "sg": "I4/mmm (139)", "energy_ev_per_atom": -6.7273, "m_tot_mub_per_fu": 0.00, "dos_at_fermi_per_ev_fu": 2.77, "lattice": [[2.8508, 0.0000, 0.0000], [0.0000, 2.8508, 0.0000], [1.4254, 1.4254, 5.0201]], "species": ["H", "H", "B", "Tc", "Tc"], "fractional_positions": [[0.7500, 0.2500, 0.5000], [0.2500, 0.7500, 0.5000], [0.0000, 0.0000, 0.0000], [0.3741, 0.3741, 0.2517], [0.6259, 0.6259, 0.7483]]}

=====

What did the third record say?
{"formula": "TaB2H6", "functional": "PBE", "state": "relaxed", "sg": "Fm-3m (225)", "energy_ev_per_atom": -3.9378, "m_tot_mub_per_fu": 0.00, "dos_at_fermi_per_ev_fu": 5.02, "lattice": [[3.7222, 0.0000, 2.1490], [1.2407, 3.5093, 2.1490], [0.0000, 0.0000, 4.2980]], "species": ["Ta", "B", "B", "H", "H", "H", "H", "H", "H"], "fractional_positions": [[0.0000, 0.0000, 0.0000], [0.7500, 0.7500, 0.7500], [0.2500, 0.2500, 0.2500], [0.2998, 0.7002, 0.7002], [0.7002, 0.7002, 0.2998], [0.7002, 0.2998, 0.7002], [0.7002, 0.2998, 0.2998], [0.2998, 0.2998, 0.7002], [0.2998, 0.7002, 0.2998]]}